Below is an optimized crystal structure of Cs2CrCl2F4, with properties calculated at the GGA+U level.

Output
E_tot = -4.51 eV per atom

Cell: 6.135 6.548 6.548 Å, 63.93 86.49 86.49°
Fractional positions:
Cs (0.280, 0.669, 0.669)
Cs (0.720, 0.331, 0.331)
Cr (0.500, 0.000, 0.000)
Cl (0.234, 0.165, 0.165)
Cl (0.766, 0.835, 0.835)
F (0.350, 0.734, 0.115)
F (0.650, 0.885, 0.266)
F (0.650, 0.266, 0.885)
F (0.350, 0.115, 0.734)